Computed, not measured: crystalline AsPPdO2 at its relaxed geometry at the PBE level of DFT.

Output
* distance to the lowest polymorph of the same formula: 0 meV/atom
* E_form (uncorrected): -92 meV/atom
* N(E_F): 1.230 states/eV/atom
* volume: 13.96 A^3/atom

```
AsPPdO2
1.0
-0.831 3.517 -0.271
-2.433 -0.370 2.661
3.746 1.161 3.587
P As O Pd
1 1 2 1
direct
0.000 0.000 0.500
0.000 0.000 0.000
0.000 0.500 0.000
0.500 0.000 0.000
0.500 0.500 0.500
```